No. 1
Density functional theory data (GGA-PBEsol) for a relaxed LuP2H4NO7 crystal.

Volume   11.4 Å³/atom

Lattice parameters (Å, degrees): 7.678 8.621 10.876 90.00 90.00 107.90
Element x y z (fractional)
O 0.861 0.999 0.100
H 0.309 0.125 0.294
P 0.431 0.697 0.867
O 0.314 0.021 0.616
O 0.543 0.747 0.232
H 0.839 0.421 0.915
O 0.314 0.521 0.884
O 0.994 0.723 0.997
O 0.139 0.001 0.900
H 0.161 0.079 0.415
Lu 0.239 0.759 0.601
P 0.569 0.803 0.367
O 0.861 0.499 0.400
O 0.389 0.762 0.435
N 0.171 0.077 0.320
O 0.068 0.247 0.730
O 0.389 0.262 0.065
P 0.431 0.197 0.633
O 0.543 0.247 0.268
O 0.932 0.753 0.270
P 0.878 0.177 0.101
O 0.686 0.979 0.384
O 0.006 0.777 0.497
Lu 0.239 0.259 0.899
N 0.829 0.423 0.820
O 0.611 0.738 0.935
O 0.321 0.808 0.933
H 0.905 0.852 0.714
P 0.569 0.303 0.133
O 0.686 0.479 0.116
P 0.878 0.677 0.399
H 0.095 0.148 0.286
H 0.095 0.648 0.214
N 0.829 0.923 0.680
H 0.839 0.921 0.585
O 0.994 0.223 0.503
O 0.932 0.253 0.230
O 0.457 0.753 0.732
H 0.691 0.875 0.706
O 0.457 0.253 0.768
O 0.321 0.308 0.567
H 0.309 0.625 0.206
O 0.679 0.692 0.433
Lu 0.761 0.741 0.101
Lu 0.761 0.241 0.399
H 0.891 0.543 0.791
O 0.068 0.747 0.770
N 0.171 0.577 0.180
H 0.691 0.375 0.794
O 0.139 0.501 0.600
H 0.161 0.579 0.085
O 0.679 0.192 0.067
H 0.891 0.043 0.709
P 0.122 0.823 0.899
P 0.122 0.323 0.601
O 0.006 0.277 0.003
H 0.109 0.957 0.291
H 0.109 0.457 0.209
O 0.611 0.238 0.565
H 0.905 0.352 0.786

No. 2
Density functional theory data (GGA-PBEsol) for a relaxed LuH3O3 crystal.

Volume   9.2 Å³/atom
Distance to the lowest polymorph of the same formula   0.00 eV/f.u.

Lattice parameters (Å, degrees): 6.894 6.956 6.956 70.35 70.71 109.29
Element x y z (fractional)
O 0.668 0.835 0.498
H 0.354 0.318 0.966
Lu 0.000 0.500 0.000
H 0.168 0.628 0.543
O 0.161 0.842 0.321
O 0.839 0.158 0.679
H 0.965 0.284 0.682
H 0.319 0.966 0.716
O 0.833 0.502 0.333
O 0.320 0.837 0.842
H 0.460 0.171 0.372
H 0.681 0.034 0.284
H 0.289 0.457 0.171
Lu 0.500 0.500 0.500
O 0.167 0.498 0.667
O 0.834 0.667 0.835
H 0.540 0.829 0.628
O 0.680 0.163 0.158
Lu 0.500 0.000 0.000
O 0.518 0.679 0.163
O 0.482 0.321 0.837
H 0.711 0.543 0.829
H 0.832 0.372 0.457
O 0.166 0.333 0.165
H 0.646 0.682 0.034
O 0.332 0.165 0.502
H 0.035 0.716 0.318
Lu 0.000 0.000 0.500

No. 3
Density functional theory data (GGA-PBEsol) for a relaxed LuHO2 crystal.

Volume   10.4 Å³/atom

Lattice parameters (Å, degrees): 5.292 5.753 5.746 108.53 90.00 90.00
Element x y z (fractional)
O 0.867 0.367 0.643
H 0.022 0.725 0.264
O 0.367 0.633 0.857
O 0.633 0.367 0.143
O 0.133 0.633 0.357
Lu 0.489 0.237 0.748
O 0.137 0.134 0.872
H 0.522 0.275 0.236
O 0.863 0.866 0.128
O 0.637 0.866 0.628
Lu 0.989 0.763 0.752
Lu 0.511 0.763 0.252
Lu 0.011 0.237 0.248
O 0.363 0.134 0.372
H 0.978 0.275 0.736
H 0.478 0.725 0.764

No. 4
Density functional theory data (GGA-PBEsol) for a relaxed LuH3O3 crystal.

Volume   7.8 Å³/atom
Distance to the lowest polymorph of the same formula   0.25 eV/f.u.

Lattice parameters (Å, degrees): 3.370 6.122 6.122 120.00 90.00 90.00
Element x y z (fractional)
O 0.750 0.311 0.396
Lu 0.250 0.333 0.667
H 0.750 0.128 0.279
H 0.250 0.872 0.721
Lu 0.750 0.667 0.333
O 0.250 0.396 0.086
H 0.250 0.849 0.128
O 0.750 0.086 0.689
O 0.250 0.914 0.311
O 0.750 0.604 0.914
H 0.750 0.721 0.849
O 0.250 0.689 0.604
H 0.250 0.279 0.151
H 0.750 0.151 0.872

No. 5
Density functional theory data (GGA-PBEsol) for a relaxed LuHO2 crystal.

Volume   10.4 Å³/atom

Lattice parameters (Å, degrees): 3.352 4.690 5.278 90.00 90.00 90.00
Element x y z (fractional)
H 0.000 0.802 0.465
Lu 0.500 0.274 0.484
H 0.500 0.198 0.965
O 0.500 0.480 0.122
O 0.000 0.520 0.622
O 0.000 0.983 0.352
Lu 0.000 0.726 0.984
O 0.500 0.017 0.852

No. 6
Density functional theory data (GGA-PBEsol) for a relaxed LuHO2 crystal.

Volume   9.9 Å³/atom

Lattice parameters (Å, degrees): 3.488 4.173 5.742 109.07 90.00 90.00
Element x y z (fractional)
O 0.736 0.233 0.948
H 0.161 0.983 0.569
H 0.661 0.017 0.431
O 0.236 0.767 0.052
O 0.744 0.246 0.441
O 0.244 0.754 0.559
Lu 0.733 0.668 0.811
Lu 0.233 0.332 0.189

No. 7
Density functional theory data (GGA-PBEsol) for a relaxed LuHSe crystal.

Volume   14.8 Å³/atom

Lattice parameters (Å, degrees): 3.692 3.692 3.765 90.00 90.00 120.00
Element x y z (fractional)
Lu 0.000 0.000 0.000
Se 0.667 0.333 0.500
H 0.333 0.667 0.000

No. 8
Density functional theory data (GGA-PBEsol) for a relaxed Mg3MnH7 crystal.

Volume   8.6 Å³/atom

Lattice parameters (Å, degrees): 4.610 4.610 10.289 90.00 90.00 120.00
Element x y z (fractional)
H 0.672 0.836 0.908
H 0.672 0.836 0.592
H 0.836 0.164 0.408
H 0.836 0.672 0.408
Mg 0.000 0.000 0.750
H 0.164 0.328 0.908
H 0.836 0.672 0.092
Mg 0.667 0.333 0.566
Mg 0.667 0.333 0.934
Mg 0.333 0.667 0.434
H 0.333 0.667 0.250
Mn 0.000 0.000 0.500
Mg 0.333 0.667 0.066
Mn 0.000 0.000 0.000
H 0.164 0.836 0.908
H 0.328 0.164 0.408
H 0.836 0.164 0.092
H 0.667 0.333 0.750
H 0.164 0.836 0.592
H 0.328 0.164 0.092
H 0.164 0.328 0.592
Mg 0.000 0.000 0.250

No. 9
Density functional theory data (GGA-PBEsol) for a relaxed MgMoH3 crystal.

Volume   8.0 Å³/atom

Lattice parameters (Å, degrees): 3.418 3.418 3.418 90.00 90.00 90.00
Element x y z (fractional)
Mo 0.500 0.500 0.500
H 0.000 0.000 0.500
H 0.000 0.500 0.000
H 0.500 0.000 0.000
Mg 0.000 0.000 0.000

No. 10
Density functional theory data (GGA-PBEsol) for a relaxed MgH4N2 crystal.

Volume   8.9 Å³/atom

Lattice parameters (Å, degrees): 9.926 9.926 12.310 113.78 113.78 90.00
Element x y z (fractional)
Mg 0.316 0.567 0.377
N 0.760 0.996 0.997
H 0.023 0.159 0.446
N 0.132 0.632 0.265
H 0.912 0.797 0.701
N 0.118 0.118 0.235
N 0.375 0.389 0.250
H 0.585 0.725 0.557
H 0.788 0.398 0.196
Mg 0.817 0.811 0.877
N 0.238 0.001 0.997
N 0.012 0.749 0.503
H 0.472 0.225 0.557
H 0.790 0.904 0.701
H 0.548 0.658 0.696
N 0.990 0.249 0.503
H 0.523 0.787 0.446
H 0.148 0.038 0.696
H 0.409 0.173 0.946
N 0.375 0.889 0.250
H 0.423 0.287 0.446
N 0.490 0.754 0.503
H 0.037 0.673 0.946
Mg 0.191 0.684 0.623
H 0.602 0.592 0.804
N 0.251 0.510 0.497
Mg 0.816 0.309 0.377
H 0.960 0.453 0.799
N 0.746 0.010 0.497
N 0.504 0.740 0.003
H 0.596 0.710 0.299
H 0.412 0.404 0.701
N 0.368 0.868 0.735
Mg 0.434 0.441 0.123
H 0.202 0.212 0.804
Mg 0.433 0.939 0.623
Mg 0.933 0.184 0.623
H 0.288 0.298 0.196
H 0.778 0.525 0.943
H 0.727 0.963 0.054
Mg 0.934 0.183 0.123
H 0.668 0.528 0.443
H 0.908 0.898 0.196
N 0.632 0.132 0.265
H 0.102 0.712 0.804
H 0.775 0.915 0.443
H 0.537 0.773 0.946
H 0.654 0.040 0.201
H 0.923 0.659 0.446
Mg 0.059 0.066 0.877
N 0.512 0.254 0.503
H 0.408 0.798 0.196
H 0.838 0.346 0.799
N 0.139 0.625 0.750
H 0.213 0.077 0.554
Mg 0.559 0.311 0.877
H 0.338 0.953 0.799
N 0.751 0.488 0.497
H 0.341 0.477 0.554
H 0.165 0.418 0.943
H 0.327 0.091 0.054
H 0.278 0.918 0.943
Mg 0.189 0.941 0.123
H 0.972 0.832 0.557
H 0.827 0.463 0.054
H 0.475 0.835 0.057
H 0.168 0.415 0.443
N 0.246 0.988 0.497
H 0.702 0.092 0.804
H 0.975 0.722 0.057
H 0.962 0.452 0.304
H 0.909 0.273 0.946
N 0.382 0.382 0.765
H 0.665 0.025 0.943
H 0.582 0.222 0.057
H 0.462 0.352 0.304
N 0.738 0.496 0.997
N 0.111 0.125 0.750
H 0.085 0.332 0.557
H 0.290 0.297 0.701
Mg 0.061 0.809 0.377
H 0.096 0.088 0.299
H 0.703 0.588 0.299
N 0.004 0.762 0.003
N 0.999 0.240 0.003
N 0.882 0.882 0.765
N 0.875 0.361 0.250
H 0.275 0.028 0.443
H 0.047 0.540 0.201
Mg 0.317 0.566 0.877
H 0.460 0.846 0.799
N 0.260 0.501 0.997
H 0.841 0.577 0.554
H 0.648 0.158 0.696
N 0.611 0.125 0.750
Mg 0.561 0.067 0.377
N 0.499 0.262 0.003
N 0.639 0.625 0.750
N 0.875 0.861 0.250
H 0.082 0.335 0.057
Mg 0.691 0.439 0.623
N 0.868 0.368 0.735
H 0.842 0.952 0.304
H 0.342 0.852 0.304
H 0.547 0.162 0.201
H 0.713 0.977 0.554
H 0.048 0.538 0.696
N 0.618 0.618 0.235
H 0.227 0.591 0.054
H 0.154 0.662 0.201
Mg 0.689 0.683 0.123
H 0.203 0.210 0.299

No. 11
Density functional theory data (GGA-PBEsol) for a relaxed Mg3P4H48N2O30 crystal.

Volume   8.3 Å³/atom

Lattice parameters (Å, degrees): 6.068 6.938 17.415 101.49 91.56 90.00
Element x y z (fractional)
H 0.403 0.278 0.555
O 0.573 0.811 0.623
O 0.156 0.581 0.589
H 0.797 0.845 0.690
O 0.102 0.063 0.126
H 0.949 0.222 0.087
H 0.999 0.534 0.584
H 0.628 0.916 0.594
H 0.336 0.431 0.099
O 0.243 0.544 0.089
P 0.383 0.705 0.411
O 0.943 0.859 0.719
H 0.579 0.305 0.205
O 0.146 0.252 0.936
O 0.266 0.904 0.439
H 0.597 0.722 0.445
O 0.734 0.465 0.561
O 0.146 0.684 0.936
H 0.664 0.569 0.901
O 0.734 0.096 0.561
O 0.346 0.098 0.742
H 0.701 0.292 0.080
H 0.664 0.332 0.901
O 0.593 0.340 0.679
O 0.854 0.748 0.064
O 0.757 0.456 0.911
O 0.534 0.125 0.882
H 0.299 0.708 0.920
H 0.903 0.741 0.241
O 0.266 0.535 0.439
H 0.372 0.084 0.406
O 0.156 0.008 0.589
O 0.898 0.937 0.874
H 0.051 0.778 0.913
H 0.859 0.365 0.730
H 0.336 0.668 0.099
H 0.059 0.587 0.174
H 0.442 0.183 0.716
O 0.654 0.355 0.258
H 0.001 0.950 0.416
P 0.338 0.047 0.095
H 0.686 0.994 0.988
H 0.794 0.033 0.467
H 0.081 0.112 0.223
O 0.466 0.243 0.118
H 0.314 0.006 0.012
O 0.407 0.660 0.321
H 0.299 0.213 0.920
H 0.001 0.466 0.416
H 0.097 0.501 0.759
H 0.558 0.817 0.284
O 0.346 0.645 0.742
H 0.421 0.100 0.795
Mg 0.247 0.834 0.667
H 0.206 0.566 0.533
H 0.628 0.678 0.594
Mg 0.753 0.166 0.333
P 0.617 0.295 0.589
O 0.844 0.419 0.411
H 0.141 0.635 0.270
O 0.057 0.141 0.281
H 0.421 0.695 0.795
O 0.844 0.992 0.411
Mg 0.000 0.500 0.000
P 0.662 0.953 0.905
H 0.579 0.900 0.205
O 0.427 0.189 0.377
H 0.372 0.322 0.406
H 0.903 0.499 0.241
H 0.949 0.865 0.087
H 0.558 0.468 0.284
O 0.854 0.316 0.064
H 0.999 0.050 0.584
H 0.794 0.434 0.467
H 0.941 0.413 0.826
H 0.701 0.787 0.080
H 0.206 0.967 0.533
N 0.002 0.616 0.231
O 0.534 0.757 0.882
N 0.998 0.384 0.769
O 0.466 0.875 0.118
H 0.051 0.135 0.913
O 0.654 0.902 0.258
H 0.203 0.155 0.310
H 0.919 0.888 0.777
H 0.097 0.259 0.759
H 0.442 0.532 0.716

Looking at electronic total energy for the records above, in order, we have -7.012; -6.402; -7.422; -6.367; -7.424; -7.437; -5.466; -3.734; -4.013; -5.141; -5.418 eV per atom.